Compound: V2MoRhN
Source: the Alexandria database
Functional: PBE
Structure: relaxed

VASP energy, eV/atom: -9.441
Spin magnetization, μB per formula unit: 0.0

Structure (POSCAR):
```
V2MoRhN
1.0
3.943 0.000 0.000
0.000 3.943 0.000
0.000 0.000 4.070
V Mo Rh N
2 1 1 1
direct
0.000 0.500 0.000
0.500 0.000 0.000
0.000 0.000 0.500
0.500 0.500 0.500
0.000 0.000 0.000
```